No. 1
The following is a DFT calculation (SCAN) of a PBEsol-optimized structure of BeSb2TeI.

Calculated values
* ΔE_f (raw): 46 kJ/mol of atoms

The structure in CIF format:
```
data_BeSb2TeI
_symmetry_space_group_name_H-M 'P 4/m m m'
_symmetry_Int_Tables_number 123
_symmetry_space_group_name_Hall '-P 4 2'
_cell_length_a 5.1369
_cell_length_b 5.1369
_cell_length_c 4.7692
_cell_angle_alpha 90.00
_cell_angle_beta 90.00
_cell_angle_gamma 90.00
loop_
_atom_site_label
_atom_site_type_symbol
_atom_site_fract_x
_atom_site_fract_y
_atom_site_fract_z
Be1 Be 0.0000 0.0000 0.0000
Sb1 Sb 0.0000 0.5000 0.0000
Te1 Te 0.0000 0.0000 0.5000
I1 I 0.5000 0.5000 0.5000
```

***

No. 2
The following is a DFT calculation (SCAN) of a PBEsol-optimized structure of BeSbWI2.

Calculated values
* ΔE_f (raw): 124 kJ/mol of atoms

The structure in CIF format:
```
data_BeSbWI2
_symmetry_space_group_name_H-M 'P 4/m m m'
_symmetry_Int_Tables_number 123
_symmetry_space_group_name_Hall '-P 4 2'
_cell_length_a 5.4373
_cell_length_b 5.4373
_cell_length_c 5.2086
_cell_angle_alpha 90.00
_cell_angle_beta 90.00
_cell_angle_gamma 90.00
loop_
_atom_site_label
_atom_site_type_symbol
_atom_site_fract_x
_atom_site_fract_y
_atom_site_fract_z
Be1 Be 0.0000 0.0000 0.0000
Sb1 Sb 0.5000 0.5000 0.0000
W1 W 0.5000 0.5000 0.5000
I1 I 0.0000 0.5000 0.5000
```

***

No. 3
The following is a DFT calculation (SCAN) of a PBEsol-optimized structure of YBeSb2I.

Calculated values
* ΔE_f (raw): 2 kJ/mol of atoms

The structure in CIF format:
```
data_YBeSb2I
_symmetry_space_group_name_H-M 'P 4/m m m'
_symmetry_Int_Tables_number 123
_symmetry_space_group_name_Hall '-P 4 2'
_cell_length_a 4.8042
_cell_length_b 4.8042
_cell_length_c 5.5576
_cell_angle_alpha 90.00
_cell_angle_beta 90.00
_cell_angle_gamma 90.00
loop_
_atom_site_label
_atom_site_type_symbol
_atom_site_fract_x
_atom_site_fract_y
_atom_site_fract_z
Y1 Y 0.0000 0.0000 0.0000
Be1 Be 0.5000 0.5000 0.5000
Sb1 Sb 0.0000 0.5000 0.5000
I1 I 0.5000 0.5000 0.0000
```

***

No. 4
The following is a DFT calculation (SCAN) of a PBEsol-optimized structure of BeZnSbI2.

Calculated values
* ΔE_f (raw): 52 kJ/mol of atoms

The structure in CIF format:
```
data_BeZnSbI2
_symmetry_space_group_name_H-M 'P 4/m m m'
_symmetry_Int_Tables_number 123
_symmetry_space_group_name_Hall '-P 4 2'
_cell_length_a 5.2038
_cell_length_b 5.2038
_cell_length_c 4.5213
_cell_angle_alpha 90.00
_cell_angle_beta 90.00
_cell_angle_gamma 90.00
loop_
_atom_site_label
_atom_site_type_symbol
_atom_site_fract_x
_atom_site_fract_y
_atom_site_fract_z
Be1 Be 0.0000 0.0000 0.0000
Zn1 Zn 0.0000 0.0000 0.5000
Sb1 Sb 0.5000 0.5000 0.5000
I1 I 0.0000 0.5000 0.0000
```

***

No. 5
The following is a DFT calculation (SCAN) of a PBEsol-optimized structure of BeSeI3.

Calculated values
* ΔE_f (raw): 46 kJ/mol of atoms

The structure in CIF format:
```
data_BeSeI3
_symmetry_space_group_name_H-M 'P m -3 m'
_symmetry_Int_Tables_number 221
_symmetry_space_group_name_Hall '-P 4 2 3'
_cell_length_a 5.1092
_cell_length_b 5.1092
_cell_length_c 5.1092
_cell_angle_alpha 90.00
_cell_angle_beta 90.00
_cell_angle_gamma 90.00
loop_
_atom_site_label
_atom_site_type_symbol
_atom_site_fract_x
_atom_site_fract_y
_atom_site_fract_z
Be1 Be 0.0000 0.0000 0.0000
Se1 Se 0.5000 0.5000 0.5000
I1 I 0.0000 0.0000 0.5000
```

***

No. 6
The following is a DFT calculation (SCAN) of a PBEsol-optimized structure of BeSi2I.

Calculated values
* ΔE_f (raw): 68 kJ/mol of atoms

The structure in CIF format:
```
data_BeSi2I
_symmetry_space_group_name_H-M 'I -4 2 d'
_symmetry_Int_Tables_number 122
_symmetry_space_group_name_Hall 'I -4 2bw'
_cell_length_a 5.6324
_cell_length_b 5.6324
_cell_length_c 11.2871
_cell_angle_alpha 90.00
_cell_angle_beta 90.00
_cell_angle_gamma 90.00
loop_
_atom_site_label
_atom_site_type_symbol
_atom_site_fract_x
_atom_site_fract_y
_atom_site_fract_z
Be1 Be 0.0000 0.0000 0.0000
Si1 Si 0.1264 0.2500 0.1250
I1 I 0.0000 0.0000 0.5000
```

***

No. 7
The following is a DFT calculation (SCAN) of a PBEsol-optimized structure of Be2SnI.

Calculated values
* ΔE_f (raw): 41 kJ/mol of atoms

The structure in CIF format:
```
data_Be2SnI
_symmetry_space_group_name_H-M 'I -4 2 d'
_symmetry_Int_Tables_number 122
_symmetry_space_group_name_Hall 'I -4 2bw'
_cell_length_a 5.7313
_cell_length_b 5.7313
_cell_length_c 11.2162
_cell_angle_alpha 90.00
_cell_angle_beta 90.00
_cell_angle_gamma 90.00
loop_
_atom_site_label
_atom_site_type_symbol
_atom_site_fract_x
_atom_site_fract_y
_atom_site_fract_z
Be1 Be 0.2374 0.2500 0.1250
Sn1 Sn 0.0000 0.0000 0.0000
I1 I 0.0000 0.0000 0.5000
```

***

No. 8
The following is a DFT calculation (SCAN) of a PBEsol-optimized structure of BeSnTeI2.

Calculated values
* ΔE_f (raw): 69 kJ/mol of atoms

The structure in CIF format:
```
data_BeSnTeI2
_symmetry_space_group_name_H-M 'P 4/m m m'
_symmetry_Int_Tables_number 123
_symmetry_space_group_name_Hall '-P 4 2'
_cell_length_a 5.8080
_cell_length_b 5.8080
_cell_length_c 5.7220
_cell_angle_alpha 90.00
_cell_angle_beta 90.00
_cell_angle_gamma 90.00
loop_
_atom_site_label
_atom_site_type_symbol
_atom_site_fract_x
_atom_site_fract_y
_atom_site_fract_z
Be1 Be 0.0000 0.0000 0.0000
Sn1 Sn 0.5000 0.5000 0.5000
Te1 Te 0.5000 0.5000 0.0000
I1 I 0.0000 0.5000 0.5000
```

***

No. 9
The following is a DFT calculation (SCAN) of a PBEsol-optimized structure of Sr3BeI.

Calculated values
* excess energy over the best structure of this formula in the dataset: 0.0 meV/atom
* ΔE_f (raw): -10 kJ/mol of atoms

The structure in CIF format:
```
data_Sr3BeI
_symmetry_space_group_name_H-M 'P m -3 m'
_symmetry_Int_Tables_number 221
_symmetry_space_group_name_Hall '-P 4 2 3'
_cell_length_a 5.9156
_cell_length_b 5.9156
_cell_length_c 5.9156
_cell_angle_alpha 90.00
_cell_angle_beta 90.00
_cell_angle_gamma 90.00
loop_
_atom_site_label
_atom_site_type_symbol
_atom_site_fract_x
_atom_site_fract_y
_atom_site_fract_z
Sr1 Sr 0.0000 0.0000 0.5000
Be1 Be 0.0000 0.0000 0.0000
I1 I 0.5000 0.5000 0.5000
```

***

No. 10
The following is a DFT calculation (SCAN) of a PBEsol-optimized structure of Ta2BeTcI.

Calculated values
* ΔE_f (raw): 144 kJ/mol of atoms

The structure in CIF format:
```
data_Ta2BeTcI
_symmetry_space_group_name_H-M 'P 4/m m m'
_symmetry_Int_Tables_number 123
_symmetry_space_group_name_Hall '-P 4 2'
_cell_length_a 4.3299
_cell_length_b 4.3299
_cell_length_c 4.6255
_cell_angle_alpha 90.00
_cell_angle_beta 90.00
_cell_angle_gamma 90.00
loop_
_atom_site_label
_atom_site_type_symbol
_atom_site_fract_x
_atom_site_fract_y
_atom_site_fract_z
Ta1 Ta 0.0000 0.5000 0.0000
Be1 Be 0.0000 0.0000 0.0000
Tc1 Tc 0.5000 0.5000 0.5000
I1 I 0.0000 0.0000 0.5000
```

***

No. 11
The following is a DFT calculation (SCAN) of a PBEsol-optimized structure of BeZn3I.

Calculated values
* ΔE_f (raw): 35 kJ/mol of atoms

The structure in CIF format:
```
data_BeZn3I
_symmetry_space_group_name_H-M 'P m -3 m'
_symmetry_Int_Tables_number 221
_symmetry_space_group_name_Hall '-P 4 2 3'
_cell_length_a 4.6104
_cell_length_b 4.6104
_cell_length_c 4.6104
_cell_angle_alpha 90.00
_cell_angle_beta 90.00
_cell_angle_gamma 90.00
loop_
_atom_site_label
_atom_site_type_symbol
_atom_site_fract_x
_atom_site_fract_y
_atom_site_fract_z
Be1 Be 0.0000 0.0000 0.0000
Zn1 Zn 0.0000 0.0000 0.5000
I1 I 0.5000 0.5000 0.5000
```

***

No. 12
The following is a DFT calculation (SCAN) of a PBEsol-optimized structure of Zr2BeI.

Calculated values
* ΔE_f (raw): 57 kJ/mol of atoms

The structure in CIF format:
```
data_Zr2BeI
_symmetry_space_group_name_H-M 'I -4 2 d'
_symmetry_Int_Tables_number 122
_symmetry_space_group_name_Hall 'I -4 2bw'
_cell_length_a 5.8485
_cell_length_b 5.8485
_cell_length_c 12.1688
_cell_angle_alpha 90.00
_cell_angle_beta 90.00
_cell_angle_gamma 90.00
loop_
_atom_site_label
_atom_site_type_symbol
_atom_site_fract_x
_atom_site_fract_y
_atom_site_fract_z
Zr1 Zr 0.1715 0.2500 0.1250
Be1 Be 0.0000 0.0000 0.0000
I1 I 0.0000 0.0000 0.5000
```

***

No. 13
The following is a DFT calculation (SCAN) of a PBEsol-optimized structure of BeIn2.

Calculated values
* E_form: 0.27 eV/atom

The structure in CIF format:
```
data_BeIn2
_symmetry_space_group_name_H-M 'C 1 2/m 1'
_symmetry_Int_Tables_number 12
_cell_length_a 12.1177
_cell_length_b 3.4179
_cell_length_c 6.4698
_cell_angle_alpha 90.00
_cell_angle_beta 118.93
_cell_angle_gamma 90.00
loop_
_symmetry_equiv_pos_as_xyz
'x,y,z'
'-x,-y,-z'
'-x,y,-z'
'x,-y,z'
'x+1/2,y+1/2,z'
'-x+1/2,-y+1/2,-z'
'-x+1/2,y+1/2,-z'
'x+1/2,-y+1/2,z'
loop_
_atom_site_label
_atom_site_type_symbol
_atom_site_fract_x
_atom_site_fract_y
_atom_site_fract_z
Be1 Be 0.0950 0.0000 0.0236
In1 In 0.0533 0.5000 0.3102
In2 In 0.2097 0.0000 0.7657
```

***

No. 14
The following is a DFT calculation (SCAN) of a PBEsol-optimized structure of BeIn2Ir.

Calculated values
* E_form: 0.33 eV/atom

The structure in CIF format:
```
data_BeIn2Ir
_symmetry_space_group_name_H-M 'F -4 3 m'
_symmetry_Int_Tables_number 216
_symmetry_space_group_name_Hall 'F -4 2 3'
_cell_length_a 6.3840
_cell_length_b 6.3840
_cell_length_c 6.3840
_cell_angle_alpha 90.00
_cell_angle_beta 90.00
_cell_angle_gamma 90.00
loop_
_atom_site_label
_atom_site_type_symbol
_atom_site_fract_x
_atom_site_fract_y
_atom_site_fract_z
Be1 Be 0.0000 0.0000 0.0000
In1 In 0.0000 0.0000 0.5000
In2 In 0.2500 0.2500 0.7500
Ir1 Ir 0.2500 0.2500 0.2500
```